[1]
# Li2La2Mg, relaxed, DFT GGA-PBEsol
data_Li2La2Mg
_chemical_formula_sum 'Li4 La4 Mg2'
_symmetry_space_group_name_H-M 'P 1'
_symmetry_Int_Tables_number 1
_cell_length_a 5.370
_cell_length_b 6.965
_cell_length_c 6.965
_cell_angle_alpha 90.00
_cell_angle_beta 90.00
_cell_angle_gamma 90.00
loop_
_symmetry_equiv_pos_as_xyz
'x,y,z'
loop_
_atom_site_label
_atom_site_type_symbol
_atom_site_fract_x
_atom_site_fract_y
_atom_site_fract_z
La1 La 0.500 0.824 0.324
Li1 Li 0.000 0.128 0.372
Li2 Li 0.000 0.628 0.128
La2 La 0.500 0.176 0.676
La3 La 0.500 0.324 0.176
La4 La 0.500 0.676 0.824
Mg1 Mg 0.000 0.000 0.000
Li3 Li 0.000 0.872 0.628
Li4 Li 0.000 0.372 0.872
Mg2 Mg 0.000 0.500 0.500
# Total DFT energy (no corrections) ... -32.1 eV for the cell shown
# DOS at the Fermi energy ... 8.3 states/eV/cell
# Space group ... No. 127


[2]
# SiBF3, relaxed, DFT GGA-PBEsol
data_SiBF3
_chemical_formula_sum 'Si1 B1 F3'
_symmetry_space_group_name_H-M 'P 1'
_symmetry_Int_Tables_number 1
_cell_length_a 3.994
_cell_length_b 3.994
_cell_length_c 3.994
_cell_angle_alpha 90.00
_cell_angle_beta 90.00
_cell_angle_gamma 90.00
loop_
_symmetry_equiv_pos_as_xyz
'x,y,z'
loop_
_atom_site_label
_atom_site_type_symbol
_atom_site_fract_x
_atom_site_fract_y
_atom_site_fract_z
F1 F 0.000 0.500 0.000
F2 F 0.500 0.000 0.000
B1 B 0.500 0.500 0.500
F3 F 0.000 0.000 0.500
Si1 Si 0.000 0.000 0.000
# Total DFT energy (no corrections) ... -21.6 eV for the cell shown
# DOS at the Fermi energy ... 1.8 states/eV/cell
# Space group ... No. 221


[3]
# TlBiN2, relaxed, DFT GGA-PBEsol
data_TlBiN2
_chemical_formula_sum 'Tl1 Bi1 N2'
_symmetry_space_group_name_H-M 'P 1'
_symmetry_Int_Tables_number 1
_cell_length_a 3.393
_cell_length_b 3.393
_cell_length_c 7.470
_cell_angle_alpha 76.87
_cell_angle_beta 76.87
_cell_angle_gamma 60.00
loop_
_symmetry_equiv_pos_as_xyz
'x,y,z'
loop_
_atom_site_label
_atom_site_type_symbol
_atom_site_fract_x
_atom_site_fract_y
_atom_site_fract_z
N1 N 0.113 0.113 0.662
Tl1 Tl 0.000 0.000 0.000
N2 N 0.887 0.887 0.338
Bi1 Bi 0.500 0.500 0.500
# Total DFT energy (no corrections) ... -20.3 eV for the cell shown
# DOS at the Fermi energy ... 1.9 states/eV/cell
# Space group ... No. 166


[4]
# YAs2Ir, relaxed, DFT GGA-PBEsol
data_YAs2Ir
_chemical_formula_sum 'Y1 As2 Ir1'
_symmetry_space_group_name_H-M 'P 1'
_symmetry_Int_Tables_number 1
_cell_length_a 3.979
_cell_length_b 3.979
_cell_length_c 5.320
_cell_angle_alpha 111.96
_cell_angle_beta 111.96
_cell_angle_gamma 90.00
loop_
_symmetry_equiv_pos_as_xyz
'x,y,z'
loop_
_atom_site_label
_atom_site_type_symbol
_atom_site_fract_x
_atom_site_fract_y
_atom_site_fract_z
Y1 Y 0.250 0.750 0.500
As1 As 0.750 0.250 0.500
As2 As 0.000 0.000 0.000
Ir1 Ir 0.500 0.500 0.000
# Total DFT energy (no corrections) ... -28.6 eV for the cell shown
# DOS at the Fermi energy ... 2.5 states/eV/cell
# Space group ... No. 119


[5]
# CdPb2Au, relaxed, DFT GGA-PBEsol
data_CdPb2Au
_chemical_formula_sum 'Cd1 Pb2 Au1'
_symmetry_space_group_name_H-M 'P 1'
_symmetry_Int_Tables_number 1
_cell_length_a 3.393
_cell_length_b 3.393
_cell_length_c 8.418
_cell_angle_alpha 90.00
_cell_angle_beta 90.00
_cell_angle_gamma 90.00
loop_
_symmetry_equiv_pos_as_xyz
'x,y,z'
loop_
_atom_site_label
_atom_site_type_symbol
_atom_site_fract_x
_atom_site_fract_y
_atom_site_fract_z
Pb1 Pb 0.500 0.500 0.297
Cd1 Cd 0.500 0.500 0.709
Pb2 Pb 0.000 0.000 0.970
Au1 Au 0.000 0.000 0.524
# Total DFT energy (no corrections) ... -13.3 eV for the cell shown
# DOS at the Fermi energy ... 1.5 states/eV/cell
# Space group ... No. 99


[6]
# YMg2Pd2, relaxed, DFT GGA-PBEsol
data_YMg2Pd2
_chemical_formula_sum 'Y1 Mg2 Pd2'
_symmetry_space_group_name_H-M 'P 1'
_symmetry_Int_Tables_number 1
_cell_length_a 4.002
_cell_length_b 4.002
_cell_length_c 6.782
_cell_angle_alpha 107.16
_cell_angle_beta 107.16
_cell_angle_gamma 90.00
loop_
_symmetry_equiv_pos_as_xyz
'x,y,z'
loop_
_atom_site_label
_atom_site_type_symbol
_atom_site_fract_x
_atom_site_fract_y
_atom_site_fract_z
Mg1 Mg 0.250 0.750 0.500
Pd1 Pd 0.394 0.394 0.788
Mg2 Mg 0.750 0.250 0.500
Y1 Y 0.000 0.000 0.000
Pd2 Pd 0.606 0.606 0.212
# Total DFT energy (no corrections) ... -25.2 eV for the cell shown
# DOS at the Fermi energy ... 2.4 states/eV/cell
# Space group ... No. 139